No. 1
Below is a geometry-optimized CaNiBO4 structure, with properties calculated at the PBE with a Hubbard U level.

Geometry as CIF:
```
data_CaNiBO4
_chemical_formula_sum 'Ca4 Ni4 B4 O16'
_symmetry_space_group_name_H-M 'C m c m'
_symmetry_Int_Tables_number 63
_symmetry_space_group_name_Hall '-C 2c 2'
_cell_length_a 5.094
_cell_length_b 8.253
_cell_length_c 6.701
_cell_angle_alpha 90.00
_cell_angle_beta 90.00
_cell_angle_gamma 90.00
loop_
_atom_site_label
_atom_site_type_symbol
_atom_site_fract_x
_atom_site_fract_y
_atom_site_fract_z
Ca1 Ca 0.000 0.185 0.250
Ni1 Ni 0.000 0.500 0.000
B1 B 0.000 0.161 0.750
O1 O 0.000 0.265 0.572
O2 O 0.241 0.057 0.750
```

Properties
* size of the total moment: 2.2 μB per formula unit
* final energy: -6.408 eV per atom


No. 2
Below is a geometry-optimized CaNi2B2O6 structure, with properties calculated at the PBE with a Hubbard U level.

Geometry as CIF:
```
data_CaNi2B2O6
_chemical_formula_sum 'Ca1 Ni2 B2 O6'
_symmetry_space_group_name_H-M 'P -3'
_symmetry_Int_Tables_number 147
_cell_length_a 5.0626
_cell_length_b 5.0626
_cell_length_c 5.9895
_cell_angle_alpha 90.00
_cell_angle_beta 90.00
_cell_angle_gamma 120.00
loop_
_symmetry_equiv_pos_as_xyz
'x,y,z'
'-x,-y,-z'
'-y,x-y,z'
'y,-x+y,-z'
'-x+y,-x,z'
'x-y,x,-z'
loop_
_atom_site_label
_atom_site_type_symbol
_atom_site_fract_x
_atom_site_fract_y
_atom_site_fract_z
Ca1 Ca 0.0000 0.0000 0.0000
Ni1 Ni 0.3333 0.6667 0.3319
B1 B 0.3333 0.6667 0.7598
O1 O 0.0568 0.6606 0.7571
```

Properties
* size of the total moment: 4.0 μB per formula unit
* final energy: -6.557 eV per atom


No. 3
Below is a geometry-optimized Ca3NiB2O6 structure, with properties calculated at the PBE with a Hubbard U level.

Geometry as CIF:
```
data_Ca3NiB2O6
_chemical_formula_sum 'Ca3 Ni1 B2 O6'
_symmetry_space_group_name_H-M 'P -3 m 1'
_symmetry_Int_Tables_number 164
_symmetry_space_group_name_Hall '-P 3 2"'
_cell_length_a 5.1270
_cell_length_b 5.1270
_cell_length_c 6.6137
_cell_angle_alpha 90.00
_cell_angle_beta 90.00
_cell_angle_gamma 120.00
loop_
_atom_site_label
_atom_site_type_symbol
_atom_site_fract_x
_atom_site_fract_y
_atom_site_fract_z
Ca1 Ca 0.0000 0.0000 0.0000
Ca2 Ca 0.3333 0.6667 0.7032
Ni1 Ni 0.0000 0.0000 0.5000
B1 B 0.3333 0.6667 0.2600
O1 O 0.1767 0.3534 0.2871
```

Properties
* size of the total moment: 0.9 μB per formula unit
* final energy: -6.496 eV per atom